3
Lattice="-1.7475 -6.0767 2.6403 2.8492 -5.2631 3.3366 -1.0451 6.7081 -0.9277" Properties=species:S:1:pos:R:3 comment="CuSbPb | Alexandria | GGA-PBE | relaxed" space_group="I4mm, No. 107" crystal_system=tetragonal vol_a3_per_atom=23.9 energy_ev_per_atom=-3.817 pbc="T T T"
Pb 0.3958 -4.0740 2.1473
Sb 0.6939 -7.1421 3.7645
Cu 0.0120 -0.1237 0.0652